--- A ---
CrClF2: optimized geometry, GGA+U.

The calculation puts the volume at 230.59 Å³ per cell. The crystal system is trigonal. The size of the total moment is 0.9373 μB/atom.

The structure belongs to space group R-3m (No. 166, hexagonal axes); the cell edges are 3.3193, 3.3193 and 24.1664 Å and the angles 90.00°, 90.00° and 120.00°. The distinct sites, in fractional coordinates, are Cr at (0.0000, 0.0000, 0.0000), Cl at (0.0000, 0.0000, 0.5000) and F at (0.0000, 0.0000, 0.3680).

***

--- B ---
CrClF2: optimized geometry, GGA+U.

The calculation puts the volume at 333.19 Å³ per cell. The crystal system is tetragonal. The size of the total moment is 0.7500 μB/atom.

The structure belongs to space group I4_1/amd (No. 141, origin choice 2); the cell edges are 5.5939, 5.5939 and 10.6479 Å and the angles 90.00°, 90.00° and 90.00°. The distinct sites, in fractional coordinates, are Cr at (0.0000, 0.2500, 0.3750), Cl at (0.0000, 0.2500, 0.8750) and F at (0.0000, 0.0000, 0.5000).

***

--- C ---
CrClF2: optimized geometry, GGA+U.

The calculation puts the volume at 209.52 Å³ per cell. The crystal system is cubic. The size of the total moment is 0.7500 μB/atom.

The structure belongs to space group Fm-3m (No. 225); the cell edges are 5.9394, 5.9394 and 5.9394 Å and the angles 90.00°, 90.00° and 90.00°. The distinct sites, in fractional coordinates, are Cr at (0.0000, 0.0000, 0.0000), Cl at (0.0000, 0.0000, 0.5000) and F at (0.2500, 0.2500, 0.2500).

***

Energies relative to the most stable structure are A 0.0; B 1.3; C 66.8, reported in kJ/mol of atoms.

***

--- A ---
LiCrCl2F: optimized geometry, GGA+U.

The calculation puts the volume at 108.31 Å³ per cell. The crystal system is tetragonal. The size of the total moment is 0.8729 μB/atom.

The structure belongs to space group P4/mmm (No. 123); the cell edges are 4.2703, 4.2703 and 5.9395 Å and the angles 90.00°, 90.00° and 90.00°. The distinct sites, in fractional coordinates, are Li at (0.0000, 0.0000, 0.0000), Cr at (0.0000, 0.0000, 0.5000), Cl at (0.0000, 0.5000, 0.0000) and F at (0.5000, 0.5000, 0.5000).

***

--- B ---
LiCrCl2F: optimized geometry, GGA+U.

The calculation puts the volume at 102.90 Å³ per cell. The crystal system is tetragonal. The size of the total moment is 0.8000 μB/atom.

The structure belongs to space group P4/mmm (No. 123); the cell edges are 5.1111, 5.1111 and 3.9390 Å and the angles 90.00°, 90.00° and 90.00°. The distinct sites, in fractional coordinates, are Li at (0.0000, 0.0000, 0.0000), Cr at (0.5000, 0.5000, 0.5000), Cl at (0.0000, 0.5000, 0.5000) and F at (0.5000, 0.5000, 0.0000).

***

Energies relative to the most stable structure are A 99.6; B 0.0, reported in kJ/mol of atoms.